No. 1
Below is a relaxed PrMgNi4H6 crystal, with properties calculated at the PBE level.

Unit cell a=4.4115 b=4.4115 c=6.7247 alpha=90.00 beta=90.00 gamma=120.00
Closest atoms and distances in Å follow each position.
Positions (direct):
Pr1 0.0000 0.0000 0.0000  12 H 2.50
Mg1 0.0000 0.0000 0.5000  12 Ni 2.82, 12 H 3.11
Ni1 0.3333 0.6667 0.3213  3 H 1.62
Ni2 0.3333 0.6667 0.6787  3 H 1.62
Ni3 0.6667 0.3333 0.3213  3 H 1.62
Ni4 0.6667 0.3333 0.6787  3 H 1.62
H1 0.0000 0.5000 0.1736  2 Ni 1.62
H2 0.0000 0.5000 0.8264  2 Ni 1.62
H3 0.5000 0.0000 0.1736  2 Ni 1.62
H4 0.5000 0.0000 0.8264  2 Ni 1.62
H5 0.5000 0.5000 0.1736  2 Ni 1.62
H6 0.5000 0.5000 0.8264  2 Ni 1.62

Calculated values
The space-group type is P6/mmm, No. 191. For the total energy, the calculation gives -4.433 eV/atom.

No. 2
Below is a relaxed Mg2NiH6Pt crystal, with properties calculated at the PBE level.

Unit cell a=4.8449 b=4.8794 c=4.8955 alpha=61.70 beta=60.92 gamma=60.71
Closest atoms and distances in Å follow each position.
Positions (direct):
Mg1 0.2428 0.2501 0.2483  5 H 2.12-2.30
Mg2 0.7572 0.7499 0.7517  5 H 2.12-2.30
Ni1 0.0000 0.0000 0.0000  6 H 1.67-1.68
H1 0.2012 0.2746 0.7964  1 Ni 1.67, 1 Pt 1.85
H2 0.2023 0.8020 0.2728  1 Ni 1.67, 1 Pt 1.85
H3 0.3081 0.7605 0.7644  1 Ni 1.68, 1 Pt 1.84
H4 0.6919 0.2394 0.2356  1 Ni 1.68, 1 Pt 1.84
H5 0.7977 0.1980 0.7272  1 Ni 1.67, 1 Pt 1.85
H6 0.7988 0.7254 0.2036  1 Ni 1.67, 1 Pt 1.85
Pt1 0.5000 0.5000 0.5000  6 H 1.84-1.85

Calculated values
The space-group type is P-1, No. 2. For the total energy, the calculation gives -3.673 eV/atom.

No. 3
Below is a relaxed PuMg2NiH8 crystal, with properties calculated at the PBE level.

Unit cell a=4.3568 b=4.3568 c=6.2508 alpha=90.00 beta=90.00 gamma=120.00
Closest atoms and distances in Å follow each position.
Positions (direct):
Pu1 0.0000 0.0000 0.0000  12 H 2.40-2.53
Mg1 0.3333 0.6667 0.3552  1 H 1.91
Mg2 0.6667 0.3333 0.6448  1 H 1.91
Ni1 0.0000 0.0000 0.5000  6 H 1.65
H1 0.1655 0.3310 0.6726  1 Ni 1.65
H2 0.1655 0.8345 0.6726  1 Ni 1.65
H3 0.3310 0.1655 0.3274  1 Ni 1.65
H4 0.3333 0.6667 0.0491  1 Mg 1.91
H5 0.6667 0.3333 0.9509  1 Mg 1.91
H6 0.6690 0.8345 0.6726  1 Ni 1.65
H7 0.8345 0.1655 0.3274  1 Ni 1.65
H8 0.8345 0.6690 0.3274  1 Ni 1.65

Calculated values
The space-group type is P-3m1, No. 164. For the total energy, the calculation gives -4.371 eV/atom.